1.
First-principles (GGA-PBE) data for a geometry-optimized Nb2WBr structure, as listed in Alexandria.

abc: 4.6661 4.6661 4.6661
angles: 60.00 60.00 60.00
With the nearest neighbours (Å) after each atom.
Fractional positions:
1 W 0.5000 0.5000 0.5000  8 Nb 2.86
2 Nb 0.7500 0.7500 0.7500  4 W 2.86, 4 Br 2.86
3 Nb 0.2500 0.2500 0.2500  4 W 2.86, 4 Br 2.86
4 Br 0.0000 0.0000 0.0000  8 Nb 2.86

Properties
- E above lowest polymorph (meV per atom) = 0
- raw formation energy (eV/atom) = 0.79

---

2.
First-principles (GGA-PBE) data for a geometry-optimized NbW2Br structure, as listed in Alexandria.

abc: 4.6133 4.6133 4.6133
angles: 60.00 60.00 60.00
With the nearest neighbours (Å) after each atom.
Fractional positions:
1 Br 0.0000 0.0000 0.0000  8 W 2.83
2 W 0.2500 0.2500 0.2500  4 Nb 2.83, 4 Br 2.83
3 W 0.7500 0.7500 0.7500  4 Nb 2.83, 4 Br 2.83
4 Nb 0.5000 0.5000 0.5000  8 W 2.83

Properties
- E above lowest polymorph (meV per atom) = 29
- raw formation energy (eV/atom) = 1.19

---

3.
First-principles (GGA-PBE) data for a geometry-optimized NbWBr2 structure, as listed in Alexandria.

abc: 4.6084 4.6084 4.6084
angles: 60.00 60.00 60.00
With the nearest neighbours (Å) after each atom.
Fractional positions:
1 Br 0.2500 0.2500 0.2500  4 Nb 2.82, 4 W 2.82
2 Br 0.7500 0.7500 0.7500  4 Nb 2.82, 4 W 2.82
3 W 0.5000 0.5000 0.5000  8 Br 2.82
4 Nb 0.0000 0.0000 0.0000  8 Br 2.82

Properties
- E above lowest polymorph (meV per atom) = 561
- raw formation energy (eV/atom) = 1.15

---

4.
First-principles (GGA-PBE) data for a geometry-optimized NbWBr3 structure, as listed in Alexandria.

abc: 5.3175 5.3175 5.3175
angles: 90.00 90.00 90.00
With the nearest neighbours (Å) after each atom.
Fractional positions:
1 Br 0.5000 0.0000 0.0000  2 Nb 2.66
2 Br 0.0000 0.0000 0.5000  2 Nb 2.66
3 Br 0.0000 0.5000 0.0000  2 Nb 2.66
4 W 0.5000 0.5000 0.5000  12 Br 3.76
5 Nb 0.0000 0.0000 0.0000  6 Br 2.66

Properties
- E above lowest polymorph (meV per atom) = 0
- raw formation energy (eV/atom) = 1.08

---

5.
First-principles (GGA-PBE) data for a geometry-optimized Nb2WBr structure, as listed in Alexandria.

abc: 4.0220 4.0220 9.9019
angles: 78.28 78.28 90.00
With the nearest neighbours (Å) after each atom.
Fractional positions:
1 W 0.0000 0.0000 0.0000  4 Nb 2.77, 4 Br 2.84
2 W 0.7500 0.2500 0.5000  4 Nb 2.77, 4 Br 2.84
3 Nb 0.3750 0.3752 0.7500  2 Br 2.76, 2 W 2.77, 4 Nb 2.84-2.85
4 Nb 0.1252 0.6250 0.2500  2 Br 2.76, 2 W 2.77, 4 Nb 2.84-2.85
5 Nb 0.8750 0.8748 0.7500  2 Br 2.76, 2 W 2.77, 4 Nb 2.84-2.85
6 Nb 0.6248 0.1250 0.2500  2 Br 2.76, 2 W 2.77, 4 Nb 2.84-2.85
7 Br 0.2500 0.7500 0.5000  4 Nb 2.76, 4 W 2.84
8 Br 0.5000 0.5000 0.0000  4 Nb 2.76, 4 W 2.84

Properties
- E above lowest polymorph (meV per atom) = 393
- raw formation energy (eV/atom) = 1.18

---

6.
First-principles (GGA-PBE) data for a geometry-optimized NbW2Br structure, as listed in Alexandria.

abc: 3.7646 3.7646 10.7661
angles: 79.93 79.93 90.00
With the nearest neighbours (Å) after each atom.
Fractional positions:
1 W 0.6371 0.1250 0.2500  4 W 2.60-2.73
2 W 0.1129 0.6250 0.2500  4 W 2.60-2.73
3 W 0.3750 0.3629 0.7500  4 W 2.60-2.73
4 W 0.8750 0.8871 0.7500  4 W 2.60-2.73
5 Br 0.5000 0.5000 0.0000  4 Nb 2.66, 4 W 2.94
6 Br 0.2500 0.7500 0.5000  4 Nb 2.66, 4 W 2.94
7 Nb 0.0000 0.0000 0.0000  4 Br 2.66, 4 W 2.91
8 Nb 0.7500 0.2500 0.5000  4 Br 2.66, 4 W 2.91

Properties
- E above lowest polymorph (meV per atom) = 0
- raw formation energy (eV/atom) = 1.16

---

7.
First-principles (GGA-PBE) data for a geometry-optimized YNb2Br structure, as listed in Alexandria.

abc: 3.9572 3.9572 11.7792
angles: 80.33 80.33 90.00
With the nearest neighbours (Å) after each atom.
Fractional positions:
1 Y 0.0000 0.0000 0.0000  4 Br 2.80
2 Y 0.7500 0.2500 0.5000  4 Br 2.80
3 Nb 0.6237 0.6250 0.2500  4 Nb 2.79-2.81
4 Nb 0.3750 0.8737 0.7500  4 Nb 2.79-2.81
5 Nb 0.8750 0.3763 0.7500  4 Nb 2.79-2.81
6 Nb 0.1263 0.1250 0.2500  4 Nb 2.79-2.81
7 Br 0.2500 0.7500 0.5000  4 Y 2.80
8 Br 0.5000 0.5000 0.0000  4 Y 2.80

Properties
- E above lowest polymorph (meV per atom) = 0
- raw formation energy (eV/atom) = 0.32

---

8.
First-principles (GGA-PBE) data for a geometry-optimized Y2NbBr structure, as listed in Alexandria.

abc: 5.8310 5.8310 8.8258
angles: 70.71 70.71 90.00
With the nearest neighbours (Å) after each atom.
Fractional positions:
1 Y 0.6432 0.1250 0.2500  2 Nb 2.79, 2 Br 2.89
2 Y 0.3750 0.3568 0.7500  2 Nb 2.79, 2 Br 2.89
3 Y 0.8750 0.8932 0.7500  2 Nb 2.79, 2 Br 2.89
4 Y 0.1068 0.6250 0.2500  2 Nb 2.79, 2 Br 2.89
5 Br 0.2500 0.7500 0.5000  4 Y 2.89
6 Br 0.5000 0.5000 0.0000  4 Y 2.89
7 Nb 0.0000 0.0000 0.0000  4 Y 2.79
8 Nb 0.7500 0.2500 0.5000  4 Y 2.79

Properties
- E above lowest polymorph (meV per atom) = 385
- raw formation energy (eV/atom) = 0.67

---

9.
First-principles (GGA-PBE) data for a geometry-optimized YNb3Br structure, as listed in Alexandria.

abc: 5.0735 5.0735 5.0735
angles: 90.00 90.00 90.00
With the nearest neighbours (Å) after each atom.
Fractional positions:
1 Nb 0.5000 0.0000 0.0000  2 Y 2.54
2 Nb 0.0000 0.5000 0.0000  2 Y 2.54
3 Nb 0.0000 0.0000 0.5000  2 Y 2.54
4 Br 0.5000 0.5000 0.5000  12 Nb 3.59
5 Y 0.0000 0.0000 0.0000  6 Nb 2.54

Properties
- E above lowest polymorph (meV per atom) = 1412
- raw formation energy (eV/atom) = 2.15

---

10.
First-principles (GGA-PBE) data for a geometry-optimized Y2NbBr structure, as listed in Alexandria.

abc: 5.2272 5.2272 5.2272
angles: 60.00 60.00 60.00
With the nearest neighbours (Å) after each atom.
Fractional positions:
1 Y 0.2500 0.2500 0.2500  4 Nb 3.20, 4 Br 3.20
2 Y 0.7500 0.7500 0.7500  4 Nb 3.20, 4 Br 3.20
3 Nb 0.5000 0.5000 0.5000  8 Y 3.20
4 Br 0.0000 0.0000 0.0000  8 Y 3.20

Properties
- E above lowest polymorph (meV per atom) = 0
- raw formation energy (eV/atom) = 0.28

---

11.
First-principles (GGA-PBE) data for a geometry-optimized YNb3Br structure, as listed in Alexandria.

abc: 4.8415 4.8415 4.8415
angles: 90.00 90.00 90.00
With the nearest neighbours (Å) after each atom.
Fractional positions:
1 Y 0.5000 0.5000 0.5000  12 Nb 3.42
2 Nb 0.0000 0.5000 0.0000  2 Br 2.42
3 Nb 0.5000 0.0000 0.0000  2 Br 2.42
4 Nb 0.0000 0.0000 0.5000  2 Br 2.42
5 Br 0.0000 0.0000 0.0000  6 Nb 2.42

Properties
- E above lowest polymorph (meV per atom) = 0
- raw formation energy (eV/atom) = 0.74

---

12.
First-principles (GGA-PBE) data for a geometry-optimized YNb2Br structure, as listed in Alexandria.

abc: 4.8812 4.8812 4.8812
angles: 60.00 60.00 60.00
With the nearest neighbours (Å) after each atom.
Fractional positions:
1 Br 0.0000 0.0000 0.0000  8 Nb 2.99
2 Nb 0.2500 0.2500 0.2500  4 Br 2.99, 4 Y 2.99
3 Nb 0.7500 0.7500 0.7500  4 Br 2.99, 4 Y 2.99
4 Y 0.5000 0.5000 0.5000  8 Nb 2.99

Properties
- E above lowest polymorph (meV per atom) = 584
- raw formation energy (eV/atom) = 0.90